Entry 1:
Compound: Pr2HoThS4
Source: the Alexandria database
Functional: GGA-PBE
Structure: relaxed

It has space group P2/m (No. 10), with a = 7.000 Å, b = 4.006 Å, c = 7.020 Å, α = 90.00°, β = 109.11° and γ = 90.00°. The asymmetric unit holds Pr at (0.000, 0.000, 0.000), Pr at (0.000, 0.500, 0.500), Ho at (0.500, 0.000, 0.500), Th at (0.500, 0.500, 0.000), S at (0.260, 0.000, 0.745) and S at (0.266, 0.500, 0.262).

For the uncorrected formation energy, the calculation gives -1.956 eV per atom.

Entry 2:
Compound: PrHo3Th4S8
Source: the Alexandria database
Functional: GGA-PBE
Structure: relaxed

It has space group R-3m (No. 166, hexagonal axes), with a = 7.8573 Å, b = 7.8573 Å, c = 20.1804 Å, α = 90.00°, β = 90.00° and γ = 120.00°. The asymmetric unit holds Pr at (0.0000, 0.0000, 0.0000), Ho at (0.0000, 0.5000, 0.0000), Th at (0.0000, 0.0000, 0.5000), Th at (0.0000, 0.5000, 0.5000), S at (0.0000, 0.0000, 0.2559) and S at (0.0087, 0.5043, 0.2540).

For the uncorrected formation energy, the calculation gives -1.903 eV per atom.

Entry 3:
Compound: PrHo2Th3S6
Source: the Alexandria database
Functional: GGA-PBE
Structure: relaxed

It has space group C2/m (No. 12), with a = 6.873 Å, b = 11.827 Å, c = 7.060 Å, α = 90.00°, β = 108.68° and γ = 90.00°. The asymmetric unit holds Pr at (0.000, 0.000, 0.000), Ho at (0.000, 0.333, 0.000), Th at (0.000, 0.161, 0.500), Th at (0.000, 0.500, 0.500), S at (0.233, 0.500, 0.234) and S at (0.247, 0.327, 0.759).

For the uncorrected formation energy, the calculation gives -1.895 eV per atom.

Entry 4:
Compound: PrHoTh2S4
Source: the Alexandria database
Functional: GGA-PBE
Structure: relaxed

It has space group P2/m (No. 10), with a = 6.897 Å, b = 4.014 Å, c = 7.029 Å, α = 90.00°, β = 109.24° and γ = 90.00°. The asymmetric unit holds Pr at (0.000, 0.000, 0.000), Ho at (0.500, 0.500, 0.000), Th at (0.000, 0.500, 0.500), Th at (0.500, 0.000, 0.500), S at (0.258, 0.500, 0.246) and S at (0.262, 0.000, 0.760).

For the uncorrected formation energy, the calculation gives -1.897 eV per atom.

Entry 5:
Compound: PrHo2ThS4
Source: the Alexandria database
Functional: GGA-PBE
Structure: relaxed

It has space group P2/m (No. 10), with a = 6.835 Å, b = 3.928 Å, c = 7.011 Å, α = 90.00°, β = 108.88° and γ = 90.00°. The asymmetric unit holds Pr at (0.000, 0.000, 0.000), Ho at (0.000, 0.500, 0.500), Ho at (0.500, 0.000, 0.500), Th at (0.500, 0.500, 0.000), S at (0.246, 0.000, 0.732) and S at (0.259, 0.500, 0.269).

For the uncorrected formation energy, the calculation gives -1.947 eV per atom.

Entry 6:
Compound: Pr3HoTl4S8
Source: the Alexandria database
Functional: GGA-PBE
Structure: relaxed

It has space group R-3m (No. 166, hexagonal axes), with a = 8.3337 Å, b = 8.3337 Å, c = 22.5011 Å, α = 90.00°, β = 90.00° and γ = 120.00°. The asymmetric unit holds Pr at (0.0000, 0.5000, 0.0000), Ho at (0.0000, 0.0000, 0.0000), Tl at (0.0000, 0.0000, 0.5000), Tl at (0.0000, 0.5000, 0.5000), S at (0.0000, 0.0000, 0.2643) and S at (0.0105, 0.5053, 0.7341).

For the uncorrected formation energy, the calculation gives -1.451 eV per atom.

Entry 7:
Compound: Pr3Ho2TmS6
Source: the Alexandria database
Functional: GGA-PBE
Structure: relaxed

It has space group C2/m (No. 12), with a = 6.817 Å, b = 11.839 Å, c = 7.055 Å, α = 90.00°, β = 108.87° and γ = 90.00°. The asymmetric unit holds Pr at (0.000, 0.000, 0.000), Pr at (0.000, 0.332, 0.000), Ho at (0.000, 0.167, 0.500), Tm at (0.000, 0.500, 0.500), S at (0.241, 0.335, 0.727) and S at (0.245, 0.000, 0.728).

For the uncorrected formation energy, the calculation gives -2.003 eV per atom.

Entry 8:
Compound: PrHo4TmS8
Source: the Alexandria database
Functional: GGA-PBE
Structure: relaxed

It has space group R3m (No. 160, hexagonal axes), with a = 8.0691 Å, b = 8.0691 Å, c = 19.7071 Å, α = 90.00°, β = 90.00° and γ = 120.00°. The asymmetric unit holds Pr at (0.0000, 0.0000, 0.0000), Ho at (0.0000, 0.0000, 0.7509), Ho at (0.1678, 0.3356, 0.2085), Tm at (0.0000, 0.0000, 0.3761), S at (0.0000, 0.0000, 0.1373), S at (0.0000, 0.0000, 0.6188), S at (0.0207, 0.5104, 0.1268) and S at (0.1838, 0.3676, 0.9555).

For the uncorrected formation energy, the calculation gives -1.920 eV per atom.

Entry 9:
Compound: PrHoTm4S8
Source: the Alexandria database
Functional: GGA-PBE
Structure: relaxed

It has space group R3m (No. 160, hexagonal axes), with a = 8.0140 Å, b = 8.0140 Å, c = 19.6995 Å, α = 90.00°, β = 90.00° and γ = 120.00°. The asymmetric unit holds Pr at (0.0000, 0.0000, 0.0000), Ho at (0.0000, 0.0000, 0.6247), Tm at (0.0000, 0.0000, 0.2509), Tm at (0.0023, 0.5011, 0.1259), S at (0.0000, 0.0000, 0.3828), S at (0.0000, 0.0000, 0.8623), S at (0.0325, 0.5163, 0.3808) and S at (0.1749, 0.3498, 0.2057).

For the uncorrected formation energy, the calculation gives -1.911 eV per atom.

Entry 10:
Compound: Pr2HoTmS4
Source: the Alexandria database
Functional: GGA-PBE
Structure: relaxed

It has space group P2/m (No. 10), with a = 6.815 Å, b = 3.912 Å, c = 7.091 Å, α = 90.00°, β = 108.53° and γ = 90.00°. The asymmetric unit holds Pr at (0.000, 0.000, 0.000), Pr at (0.500, 0.500, 0.000), Ho at (0.000, 0.500, 0.500), Tm at (0.500, 0.000, 0.500), S at (0.244, 0.000, 0.727) and S at (0.260, 0.500, 0.274).

For the uncorrected formation energy, the calculation gives -1.998 eV per atom.

Entry 11:
Compound: Pr2HoTmS5
Source: the Alexandria database
Functional: GGA-PBE
Structure: relaxed

It has space group P4/mmm (No. 123), with a = 4.839 Å, b = 4.839 Å, c = 10.243 Å, α = 90.00°, β = 90.00° and γ = 90.00°. The asymmetric unit holds Pr at (0.000, 0.000, 0.209), Ho at (0.500, 0.500, 0.500), Tm at (0.500, 0.500, 0.000), S at (0.000, 0.000, 0.500), S at (0.000, 0.500, 0.000) and S at (0.500, 0.500, 0.255).

For the uncorrected formation energy, the calculation gives -1.514 eV per atom.

Entry 12:
Compound: Pr3HoTm2S6
Source: the Alexandria database
Functional: GGA-PBE
Structure: relaxed

It has space group C2/m (No. 12), with a = 6.797 Å, b = 11.802 Å, c = 7.061 Å, α = 90.00°, β = 108.80° and γ = 90.00°. The asymmetric unit holds Pr at (0.000, 0.000, 0.000), Pr at (0.000, 0.334, 0.000), Ho at (0.000, 0.500, 0.500), Tm at (0.000, 0.167, 0.500), S at (0.239, 0.000, 0.725) and S at (0.243, 0.332, 0.726).

For the uncorrected formation energy, the calculation gives -1.997 eV per atom.